1.
A crystal of Bi2Pd3Se2 relaxed with PBEsol, computed with SCAN.

Raw total energy: -1192.47 eV/cell
ρ: 9.992 g/cm3
ΔE_f (raw): -2.478 eV per formula unit
Density of states at the Fermi level: 2.07 states/eV/f.u.

abc: 11.682 8.388 8.375
angles: 90.00 133.52 90.00
Space group C2/m (No. 12)
Asymmetric unit:
Bi 0.215 0.000 0.200 (multiplicity 4)
Bi 0.250 0.000 0.759 (multiplicity 4)
Pd 0.000 0.279 0.000 (multiplicity 4)
Pd 0.027 0.000 0.304 (multiplicity 4)
Pd 0.250 0.250 0.000 (multiplicity 4)
Se 0.033 0.293 0.323 (multiplicity 8)

---

2.
A crystal of Te3RhF relaxed with PBEsol, computed with SCAN.

Raw total energy: -148.31 eV/cell
ρ: 6.310 g/cm3
ΔE_f (raw): 0.750 eV per formula unit
Density of states at the Fermi level: 5.78 states/eV/f.u.

abc: 5.102 5.102 5.102
angles: 90.00 90.00 90.00
Space group Pm-3m (No. 221)
Asymmetric unit:
Te 0.000 0.000 0.500 (multiplicity 3)
Rh 0.000 0.000 0.000 (multiplicity 1)
F 0.500 0.500 0.500 (multiplicity 1)

---

3.
A crystal of Fe3TcAs relaxed with PBEsol, computed with SCAN.

Raw total energy: -104.52 eV/cell
ρ: 7.527 g/cm3
Calculated formation energy: 1.0234 eV per atom
Density of states at the Fermi level: 4.62 states/eV/f.u.

abc: 4.219 4.219 4.219
angles: 90.00 90.00 90.00
Space group Pm-3m (No. 221)
Asymmetric unit:
Fe 0.000 0.000 0.500 (multiplicity 3)
Tc 0.500 0.500 0.500 (multiplicity 1)
As 0.000 0.000 0.000 (multiplicity 1)

---

Look up the raw total energy of the second one. -148.31 eV/cell

---

Which of these has the lowest raw total energy? Bi2Pd3Se2

---

Please write out number 3 again, unchanged.
A crystal of Fe3TcAs relaxed with PBEsol, computed with SCAN.

Raw total energy: -104.52 eV/cell
ρ: 7.527 g/cm3
Calculated formation energy: 1.0234 eV per atom
Density of states at the Fermi level: 4.62 states/eV/f.u.

abc: 4.219 4.219 4.219
angles: 90.00 90.00 90.00
Space group Pm-3m (No. 221)
Asymmetric unit:
Fe 0.000 0.000 0.500 (multiplicity 3)
Tc 0.500 0.500 0.500 (multiplicity 1)
As 0.000 0.000 0.000 (multiplicity 1)

---

ρ of number 2 (Te3RhF)? 6.310 g/cm3